# MoSeBr2F GGA+U optimized geometry
data_MoSeBr2F
_cell_length_a 5.199
_cell_length_b 5.199
_cell_length_c 4.982
_cell_angle_alpha 90.00
_cell_angle_beta 90.00
_cell_angle_gamma 90.00
_symmetry_space_group_name_H-M 'P 4/m m m'
_symmetry_Int_Tables_number 123
_symmetry_space_group_name_Hall '-P 4 2'
loop_
_atom_site_label
_atom_site_fract_x
_atom_site_fract_y
_atom_site_fract_z
Mo1 0.000 0.000 0.000
Se1 0.000 0.000 0.500
Br1 0.000 0.500 0.000
F1 0.500 0.500 0.500
# total moment = 1.00 μB per formula unit
# excess energy over the best structure of this formula in the dataset = 0 meV/atom